Computed, not measured: an optimized crystal structure of BeZn3Ge at the PBE-GGA level of DFT.

Values from the calculation:
- calculated density (kg/m3) = 4076
- size of the total moment (μB per cell) = 0.00
- distance to the lowest polymorph of the same formula (meV/atom) = 464

a b c (Å): 4.838 4.838 4.838
angles (deg): 90.00 90.00 90.00
Sites, in units of the cell vectors:
Zn: 0.500 0.000 0.000
Zn: 0.000 0.000 0.500
Zn: 0.000 0.500 0.000
Ge: 0.000 0.000 0.000
Be: 0.500 0.500 0.500